Record 1
A plane-wave DFT calculation with PBEsol was carried out for an optimized crystal structure of CeSe2.

- crystal system = trigonal
- DFT total energy (eV/atom) = -6.207

Geometry as extended XYZ:
```
3
Lattice="4.226 0.000 0.000 2.113 3.660 0.000 2.113 1.220 6.364" Properties=species:S:1:pos:R:3 pbc="T T T"
Se 2.113 1.220 4.620
Se 6.339 3.660 1.743
Ce 4.226 2.440 3.182
```

Record 2
A plane-wave DFT calculation with PBEsol was carried out for an optimized crystal structure of CeSe2.

- crystal system = orthorhombic
- DFT total energy (eV/atom) = -6.319

Geometry as extended XYZ:
```
12
Lattice="4.305 0.000 0.000 0.000 5.559 0.000 0.000 0.000 13.417" Properties=species:S:1:pos:R:3 pbc="T T T"
Ce 1.076 5.276 1.887
Ce 1.076 3.063 8.596
Ce 3.229 0.283 11.530
Ce 3.229 2.496 4.821
Se 3.229 5.284 3.848
Se 1.076 2.505 2.861
Se 3.229 3.054 10.556
Se 1.076 1.423 6.298
Se 3.229 4.202 0.411
Se 1.076 1.357 13.006
Se 1.076 0.275 9.569
Se 3.229 4.136 7.119
```

Record 3
A plane-wave DFT calculation with PBEsol was carried out for an optimized crystal structure of CeSe2.

- crystal system = cubic
- DFT total energy (eV/atom) = -6.189

Geometry as extended XYZ:
```
12
Lattice="8.349 0.000 0.000 4.175 7.231 0.000 4.175 2.410 6.817" Properties=species:S:1:pos:R:3 pbc="T T T"
Ce 6.262 6.025 4.261
Ce 10.436 6.025 4.261
Ce 8.349 4.820 0.852
Ce 8.349 2.410 4.261
Se 10.259 3.718 2.629
Se 12.524 7.231 2.773
Se 8.349 4.820 5.748
Se 14.434 8.333 5.893
Se 8.349 7.026 2.629
Se 10.613 8.333 5.893
Se 12.524 5.025 5.893
Se 6.439 3.718 2.629
```

Record 4
A plane-wave DFT calculation with PBEsol was carried out for an optimized crystal structure of CeSe2.

- N(E_F) (states/eV per cell) = 4.46
- crystal system = monoclinic
- DFT total energy (eV/atom) = -6.325

Geometry as extended XYZ:
```
12
Lattice="-5.199 0.569 -2.159 1.894 -4.422 -5.725 -1.389 -5.707 3.948" Properties=species:S:1:pos:R:3 pbc="T T T"
Ce -3.056 -3.279 -2.870
Ce -4.507 -4.367 1.391
Ce -1.639 -6.280 -1.066
Ce -0.188 -5.193 -5.327
Se -4.633 -5.261 -1.357
Se -0.195 -8.462 -2.301
Se -0.062 -4.298 -2.579
Se -1.984 -2.833 -5.457
Se -2.548 -5.991 -3.877
Se -2.146 -3.568 -0.059
Se -4.499 -1.098 -1.635
Se -2.710 -6.727 1.521
```

Record 5
A plane-wave DFT calculation with PBEsol was carried out for an optimized crystal structure of CeSe2.

- N(E_F) (states/eV per cell) = 10.69
- crystal system = tetragonal
- DFT total energy (eV/atom) = -6.361

Geometry as extended XYZ:
```
6
Lattice="4.128 0.000 0.000 0.000 4.128 0.000 0.000 0.000 8.151" Properties=species:S:1:pos:R:3 pbc="T T T"
Se 0.000 0.000 0.000
Se 2.064 0.000 5.194
Se 2.064 2.064 0.000
Se 0.000 2.064 2.957
Ce 2.064 0.000 2.202
Ce 0.000 2.064 5.949
```

Record 6
A plane-wave DFT calculation with PBEsol was carried out for an optimized crystal structure of CeSe2.

- N(E_F) (states/eV per cell) = 1.15
- crystal system = orthorhombic
- DFT total energy (eV/atom) = -6.292

Geometry as extended XYZ:
```
24
Lattice="6.834 0.000 0.000 0.000 7.503 0.000 0.000 0.000 11.486" Properties=species:S:1:pos:R:3 pbc="T T T"
Se 2.167 6.778 2.028
Se 0.071 1.676 0.768
Se 3.488 2.076 0.768
Se 5.584 4.477 2.028
Se 5.584 0.725 3.715
Se 1.250 3.026 9.458
Se 6.763 5.828 10.718
Se 2.167 3.026 3.715
Se 3.488 5.828 4.975
Se 4.667 4.477 7.771
Se 6.763 2.076 6.511
Se 3.346 1.676 6.511
Se 1.250 6.778 7.771
Se 4.667 0.725 9.458
Se 3.346 5.427 10.718
Se 0.071 5.427 4.975
Ce 1.547 4.148 1.054
Ce 4.964 3.355 4.689
Ce 4.964 7.107 1.054
Ce 1.870 4.148 6.797
Ce 1.547 0.397 4.689
Ce 5.287 7.107 6.797
Ce 1.870 0.397 10.432
Ce 5.287 3.355 10.432
```

Record 7
A plane-wave DFT calculation with PBEsol was carried out for an optimized crystal structure of CeSe2.

- crystal system = triclinic
- DFT total energy (eV/atom) = -6.278

Geometry as extended XYZ:
```
9
Lattice="-1.388 5.033 1.607 -5.558 -4.168 1.207 5.732 -1.715 4.560" Properties=species:S:1:pos:R:3 pbc="T T T"
Ce -3.709 -1.713 1.741
Ce -2.068 -1.553 5.861
Ce -0.889 2.458 3.883
Se -1.425 -0.543 3.241
Se 1.535 1.297 3.062
Se 2.388 -1.625 4.153
Se -2.900 2.270 1.944
Se -0.410 -3.747 4.763
Se -5.511 0.236 3.047
```

Record 8
A plane-wave DFT calculation with PBEsol was carried out for an optimized crystal structure of Ce2SnSe4.

- N(E_F) (states/eV per cell) = 50.62
- crystal system = orthorhombic
- DFT total energy (eV/atom) = -5.984

Geometry as extended XYZ:
```
28
Lattice="4.187 0.000 0.000 0.000 11.865 0.000 0.000 0.000 15.091" Properties=species:S:1:pos:R:3 pbc="T T T"
Se 3.140 11.676 3.251
Se 1.047 9.051 4.577
Se 1.047 3.977 7.389
Se 3.140 2.814 10.514
Se 3.140 5.248 13.719
Se 3.140 7.888 7.702
Se 1.047 9.910 0.156
Se 1.047 6.123 10.796
Se 1.047 6.618 1.372
Se 1.047 3.118 2.969
Se 3.140 11.181 8.917
Se 1.047 0.685 6.173
Se 3.140 5.743 4.294
Se 1.047 0.190 11.840
Se 3.140 1.955 14.935
Se 3.140 8.747 12.122
Ce 1.047 7.232 13.652
Ce 3.140 11.188 13.578
Ce 1.047 6.610 6.032
Ce 3.140 5.255 9.058
Ce 1.047 1.299 8.984
Ce 3.140 10.566 6.107
Ce 1.047 0.678 1.513
Ce 3.140 4.634 1.439
Sn 3.140 8.975 2.435
Sn 1.047 8.823 9.980
Sn 1.047 2.890 12.656
Sn 3.140 3.042 5.111
```

no.,formation energy from raw total energies (kJ/mol of atoms)
1,-139
2,-150
3,-137
4,-151
5,-154
6,-147
7,-146
8,-125